1.
Here is crystalline Zr2ScTi at its relaxed geometry from the Alexandria database. Energies are from PBE-GGA.

Cell and atoms, written as extended XYZ:
```
4
Lattice="4.2988 -0.0003 -1.1044 -0.3056 4.2971 -1.1907 -0.9494 -0.9446 5.2233" Properties=species:S:1:pos:R:3 pbc="T T T"
Sc 0.3709 2.7504 1.4425
Zr 1.0443 1.2004 4.0642
Zr 0.0030 0.0034 0.0115
Ti 2.6730 0.6017 1.4856
```

Results
ΔE_f, eV/atom: 0.076
Energy above the lowest structure with this stoichiometry, meV/atom: 18

=====

2.
Here is crystalline ZrSc14Ti at its relaxed geometry from the Alexandria database. Energies are from PBE-GGA.

Cell and atoms, written as extended XYZ:
```
16
Lattice="-5.9704 -2.6760 -0.5745 5.2534 -3.0856 -2.4531 1.3151 -4.8478 8.9140" Properties=species:S:1:pos:R:3 pbc="T T T"
Sc 2.1659 -5.3728 2.6307
Sc 0.7298 -5.5402 -0.2827
Sc 1.4093 -8.0452 4.3233
Sc -1.2667 -6.4807 5.5519
Ti -4.1171 -2.7436 -0.8847
Sc -1.1023 -1.3874 -0.5919
Sc 1.7710 -5.1386 5.8506
Sc 3.7004 -4.2287 0.0900
Sc -0.8132 -6.7066 2.3449
Sc -0.4558 -3.8347 3.8540
Sc -1.9424 -3.9898 0.9717
Sc 4.3580 -6.6530 4.5477
Sc -3.4428 -5.1681 3.5695
Sc 1.0915 -2.6337 1.2446
Sc -1.4656 -4.3067 -2.1259
Zr 1.5344 -2.9499 -1.8306
```

Results
ΔE_f, eV/atom: 0.015

=====

3.
Here is crystalline Zr2ScTi at its relaxed geometry from the Alexandria database. Energies are from PBE-GGA.

Cell and atoms, written as extended XYZ:
```
8
Lattice="7.7061 0.0000 0.0000 0.0000 7.7061 0.0000 3.8530 3.8530 2.9947" Properties=species:S:1:pos:R:3 pbc="T T T"
Zr 5.8876 1.9265 0.7487
Sc 3.8530 3.8530 0.0000
Zr 5.7796 5.6715 2.2460
Ti 7.7061 3.8530 1.4973
Ti 0.0000 0.0000 0.0000
Zr 9.6326 9.7407 2.2460
Sc 3.8530 7.7061 1.4973
Zr 1.8185 5.7796 0.7487
```

Results
ΔE_f, eV/atom: 0.492
Energy above the lowest structure with this stoichiometry, meV/atom: 435

=====

4.
Here is crystalline ZrScTi2 at its relaxed geometry from the Alexandria database. Energies are from PBE-GGA.

Cell and atoms, written as extended XYZ:
```
4
Lattice="0.0000 3.4282 3.4282 3.4282 0.0000 3.4282 3.4282 3.4282 0.0000" Properties=species:S:1:pos:R:3 pbc="T T T"
Zr 3.4282 3.4282 3.4282
Ti 5.1423 5.1423 5.1423
Ti 1.7141 1.7141 1.7141
Sc 0.0000 0.0000 0.0000
```

Results
ΔE_f, eV/atom: 0.173
Energy above the lowest structure with this stoichiometry, meV/atom: 64

=====

5.
Here is crystalline ZrScTi2 at its relaxed geometry from the Alexandria database. Energies are from PBE-GGA.

Cell and atoms, written as extended XYZ:
```
4
Lattice="3.1059 0.0000 0.0000 1.5529 2.6897 0.0000 1.5529 0.8966 9.7949" Properties=species:S:1:pos:R:3 pbc="T T T"
Ti 1.5529 0.8966 7.3668
Sc 3.1059 1.7932 4.8905
Zr 3.1059 1.7932 0.0104
Ti 1.5529 0.8966 2.4247
```

Results
ΔE_f, eV/atom: 0.115
Energy above the lowest structure with this stoichiometry, meV/atom: 7

=====

6.
Here is crystalline ZrScTi2 at its relaxed geometry from the Alexandria database. Energies are from PBE-GGA.

Cell and atoms, written as extended XYZ:
```
4
Lattice="-3.2530 1.0852 1.0064 -1.3030 -3.2525 -0.7043 1.2539 -1.8003 5.9942" Properties=species:S:1:pos:R:3 pbc="T T T"
Ti 0.3487 -0.5007 1.6671
Zr -1.6510 -1.9838 3.1482
Ti 0.9052 -1.2996 4.3272
Sc -2.2780 -1.0836 0.1511
```

Results
ΔE_f, eV/atom: 0.126
Energy above the lowest structure with this stoichiometry, meV/atom: 18

=====

7.
Here is crystalline Sc2Tl at its relaxed geometry from the Alexandria database. Energies are from PBE-GGA.

Cell and atoms, written as extended XYZ:
```
6
Lattice="-13.1723 -1.2854 5.5283 -14.1738 1.2093 1.8346 13.3537 -1.8755 -4.8872" Properties=species:S:1:pos:R:3 pbc="T T T"
Sc -9.3324 -0.3579 0.8760
Sc -5.1608 -0.3463 -0.2472
Tl -6.7458 -1.5994 2.1613
Sc -11.5873 -0.0322 3.1198
Tl 0.0000 0.0000 0.0000
Sc -15.7588 -0.0438 4.2430
```

Results
ΔE_f, eV/atom: -0.008

=====

8.
Here is crystalline Sc13Tl3 at its relaxed geometry from the Alexandria database. Energies are from PBE-GGA.

Cell and atoms, written as extended XYZ:
```
16
Lattice="-2.4603 4.3435 -4.3212 -5.3699 -5.0704 -2.0391 -4.1779 3.1830 5.5782" Properties=species:S:1:pos:R:3 pbc="T T T"
Sc -5.4560 -0.1540 0.3506
Sc -2.3260 -0.0913 1.2326
Sc -5.7511 2.9799 1.2259
Sc -3.5264 2.0130 -1.0128
Sc -7.1123 -1.0375 3.0067
Sc -3.2800 -1.1110 -1.7522
Sc -6.3472 -1.1475 -2.5835
Tl -6.0896 6.0964 1.9748
Sc -5.1195 -3.3366 -0.4389
Sc -4.5194 1.0771 -3.9290
Sc -6.6476 1.9496 -1.7422
Sc -8.3941 1.0508 0.7916
Tl -4.8328 3.8778 4.1820
Sc -7.9827 -2.0406 -0.0090
Sc -9.2221 0.1475 -2.1859
Tl -4.5383 0.6880 3.2755
```

Results
ΔE_f, eV/atom: -0.083